The following is a DFT calculation (GGA-PBE) of a relaxed LiAgB2Au crystal.

Output
Electronic total energy, eV per atom: -3.050

Unit cell a=4.127 b=5.289 c=4.127 alpha=90.00 beta=90.00 gamma=90.00
Element x y z (fractional)
B 0.500 0.000 0.000
B 0.000 0.000 0.500
Ag 0.000 0.000 0.000
Li 0.500 0.500 0.500
Au 0.000 0.500 0.000